UTl2Cu2Te4 | PBE-GGA | relaxed

Calculated values
- V (Å³/cell) = 541
- energy (eV for the cell shown) = -80.3
- magnetic moment (μB per cell) = 4.00
- E_form (uncorrected) (kJ/mol of formula units) = -325
- D(E_F) (states/eV per cell) = 9.74

Cell and atoms, written as CIF:
```
data_UTl2Cu2Te4
_cell_length_a 15.613
_cell_length_b 4.300
_cell_length_c 8.519
_cell_angle_alpha 90.00
_cell_angle_beta 108.96
_cell_angle_gamma 90.00
_space_group_name_H-M_alt 'C 1 2/m 1'
_space_group_IT_number 12
loop_
_space_group_symop_operation_xyz
'x,y,z'
'-x,-y,-z'
'-x,y,-z'
'x,-y,z'
'x+1/2,y+1/2,z'
'-x+1/2,-y+1/2,-z'
'-x+1/2,y+1/2,-z'
'x+1/2,-y+1/2,z'
loop_
_atom_site_label
_atom_site_fract_x
_atom_site_fract_y
_atom_site_fract_z
_atom_site_occupancy
U1 0.000 0.000 0.000 1
Tl1 0.136 0.000 0.568 1
Cu1 0.184 0.500 0.994 1
Te1 0.023 0.500 0.761 1
Te2 0.203 0.000 0.188 1
```